{
  "formula": "Ga40SnMo8",
  "functional": "PBE-GGA",
  "state": "optimized geometry",
  "space_group": "R-3",
  "dft_energy_ev_per_atom": -4.4611,
  "lattice_angstrom": [[7.0046, 4.0441, 5.1350], [-7.0046, 4.0441, 5.1350], [0.0000, -8.0882, 5.1350]],
  "species": ["Ga", "Ga", "Ga", "Ga", "Ga", "Ga", "Ga", "Ga", "Ga", "Ga", "Ga", "Ga", "Ga", "Ga", "Ga", "Ga", "Ga", "Ga", "Ga", "Ga", "Ga", "Ga", "Ga", "Ga", "Ga", "Ga", "Ga", "Ga", "Ga", "Ga", "Ga", "Ga", "Ga", "Ga", "Ga", "Ga", "Ga", "Ga", "Ga", "Ga", "Sn", "Mo", "Mo", "Mo", "Mo", "Mo", "Mo", "Mo", "Mo"],
  "frac_coords": [[0.0000, 0.0000, 0.0000], [0.0000, 0.0000, 0.5000], [0.0000, 0.5000, 0.0000], [0.0272, 0.2741, 0.1712], [0.0584, 0.4240, 0.7218], [0.0956, 0.2846, 0.4633], [0.1110, 0.1337, 0.7647], [0.1337, 0.7647, 0.1110], [0.1712, 0.0272, 0.2741], [0.1896, 0.6693, 0.6226], [0.2291, 0.5418, 0.3666], [0.2353, 0.8890, 0.8663], [0.2741, 0.1712, 0.0272], [0.2782, 0.9416, 0.5760], [0.2846, 0.4633, 0.0956], [0.3307, 0.3774, 0.8104], [0.3666, 0.2291, 0.5418], [0.3774, 0.8104, 0.3307], [0.4240, 0.7218, 0.0584], [0.4582, 0.6334, 0.7709], [0.4633, 0.0956, 0.2846], [0.5000, 0.0000, 0.0000], [0.5367, 0.9044, 0.7154], [0.5418, 0.3666, 0.2291], [0.5760, 0.2782, 0.9416], [0.6226, 0.1896, 0.6693], [0.6334, 0.7709, 0.4582], [0.6693, 0.6226, 0.1896], [0.7154, 0.5367, 0.9044], [0.7218, 0.0584, 0.4240], [0.7259, 0.8288, 0.9728], [0.7647, 0.1110, 0.1337], [0.7709, 0.4582, 0.6334], [0.8104, 0.3307, 0.3774], [0.8288, 0.9728, 0.7259], [0.8663, 0.2353, 0.8890], [0.8890, 0.8663, 0.2353], [0.9044, 0.7154, 0.5367], [0.9416, 0.5760, 0.2782], [0.9728, 0.7259, 0.8288], [0.5000, 0.5000, 0.5000], [0.1116, 0.7855, 0.3886], [0.2145, 0.6114, 0.8884], [0.2827, 0.2827, 0.2827], [0.3886, 0.1116, 0.7855], [0.6114, 0.8884, 0.2145], [0.7173, 0.7173, 0.7173], [0.7855, 0.3886, 0.1116], [0.8884, 0.2145, 0.6114]]
}